No. 1
{
  "formula": "AgOs2Se",
  "functional": "PBE-GGA",
  "state": "optimized geometry",
  "sg": "I4/mmm (139)",
  "magmom_total_mub_per_fu": 0.00,
  "final_energy_ev_per_atom": -6.067,
  "cell": [[-1.980, 1.980, 4.082], [1.980, -1.980, 4.082], [1.980, 1.980, -4.082]],
  "species": ["Ag", "Os", "Os", "Se"],
  "frac_coords": [[0.000, 0.000, 0.000], [0.250, 0.750, 0.500], [0.750, 0.250, 0.500], [0.500, 0.500, 0.000]]
}


No. 2
{
  "formula": "AgOs2Se",
  "functional": "PBE-GGA",
  "state": "optimized geometry",
  "sg": "Cmmm (65)",
  "magmom_total_mub_per_fu": 0.00,
  "final_energy_ev_per_atom": -6.237,
  "cell": [[1.408, -2.381, 0.000], [1.408, 2.381, 0.000], [0.000, 0.000, 9.562]],
  "species": ["Ag", "Os", "Os", "Se"],
  "frac_coords": [[0.000, 0.000, 0.000], [0.500, 0.500, 0.259], [0.500, 0.500, 0.741], [0.000, 0.000, 0.500]]
}


No. 3
{
  "formula": "AgOs3Se",
  "functional": "PBE-GGA",
  "state": "optimized geometry",
  "e_above_lowest_polymorph_ev_per_atom": 0.000,
  "sg": "Pm-3m (221)",
  "magmom_total_mub_per_fu": 1.71,
  "cell": [[4.544, 0.000, 0.000], [0.000, 4.544, 0.000], [0.000, 0.000, 4.544]],
  "species": ["Ag", "Os", "Os", "Os", "Se"],
  "frac_coords": [[0.000, 0.000, 0.000], [0.000, 0.500, 0.500], [0.500, 0.000, 0.500], [0.500, 0.500, 0.000], [0.500, 0.500, 0.500]]
}


No. 4
{
  "formula": "AgOsSe2",
  "functional": "PBE-GGA",
  "state": "optimized geometry",
  "e_above_lowest_polymorph_ev_per_atom": 0.273,
  "sg": "Imm2 (44)",
  "magmom_total_mub_per_fu": 0.00,
  "cell": [[-1.513, 2.019, 6.355], [1.513, -2.019, 6.355], [1.513, 2.019, -6.355]],
  "species": ["Ag", "Os", "Se", "Se"],
  "frac_coords": [[0.000, 0.000, 0.000], [0.216, 0.716, 0.500], [0.372, 0.372, 0.000], [0.656, 0.156, 0.500]]
}


No. 5
{
  "formula": "AgOsSe",
  "functional": "PBE-GGA",
  "state": "optimized geometry",
  "e_above_lowest_polymorph_ev_per_atom": 0.295,
  "sg": "Fmm2 (42)",
  "magmom_total_mub_per_fu": 0.00,
  "cell": [[0.000, 2.531, 7.435], [1.459, 0.000, 7.435], [1.459, 2.531, 0.000]],
  "species": ["Ag", "Os", "Se"],
  "frac_coords": [[0.000, 0.000, 0.000], [0.337, 0.337, 0.663], [0.705, 0.705, 0.295]]
}


No. 6
{
  "formula": "AgOsSe2",
  "functional": "PBE-GGA",
  "state": "optimized geometry",
  "e_above_lowest_polymorph_ev_per_atom": 0.429,
  "sg": "Cmm2 (35)",
  "magmom_total_mub_per_fu": 0.00,
  "cell": [[1.463, -2.551, 0.000], [1.463, 2.551, 0.000], [0.000, 0.000, 10.427]],
  "species": ["Ag", "Os", "Se", "Se"],
  "frac_coords": [[0.000, 0.000, 0.000], [0.500, 0.500, 0.767], [0.000, 0.000, 0.580], [0.500, 0.500, 0.237]]
}


No. 7
{
  "formula": "AgOsSe2",
  "functional": "PBE-GGA",
  "state": "optimized geometry",
  "e_above_lowest_polymorph_ev_per_atom": 0.327,
  "sg": "P4/mmm (123)",
  "magmom_total_mub_per_fu": 0.00,
  "cell": [[3.060, 0.000, 0.000], [0.000, 3.060, 0.000], [0.000, 0.000, 7.840]],
  "species": ["Ag", "Os", "Se", "Se"],
  "frac_coords": [[0.000, 0.000, 0.000], [0.000, 0.000, 0.500], [0.500, 0.500, 0.298], [0.500, 0.500, 0.702]]
}


No. 8
{
  "formula": "AgOsSe",
  "functional": "PBE-GGA",
  "state": "optimized geometry",
  "e_above_lowest_polymorph_ev_per_atom": 0.422,
  "sg": "F-43m (216)",
  "magmom_total_mub_per_fu": 0.00,
  "cell": [[0.000, 3.060, 3.060], [3.060, 0.000, 3.060], [3.060, 3.060, 0.000]],
  "species": ["Ag", "Os", "Se"],
  "frac_coords": [[0.000, 0.000, 0.000], [0.250, 0.250, 0.250], [0.500, 0.500, 0.500]]
}